1.
Material: PbSeBr4
Method: DFT, GGA-PBE
State: optimized geometry

Cell: 8.8626 8.8626 8.8626 Å, 90.00 90.00 90.00°
With the nearest neighbours (Å) after each atom.
Space group F-43m (No. 216)
Asymmetric unit:
Pb 0.0000 0.0000 0.0000 [4 per cell]  12 Br 3.68, 4 Se 3.84
Se 0.2500 0.2500 0.7500 [4 per cell]  12 Br 3.67, 4 Pb 3.84
Br 0.1247 0.1247 0.3753 [16 per cell]  6 Br 3.12-3.14

calculated volume	696.1	Å³/cell
D(E_F)	30.03	states/eV/cell
E_form (uncorrected)	0.45	eV/atom
calculated density	5.78	Mg/m³
magnetic moment	0.141	μB per atom
E	-44.79	eV/cell

***

2.
Material: Hf3SiSn
Method: DFT, GGA-PBE
State: optimized geometry

Cell: 7.6442 3.8005 8.0170 Å, 90.00 96.24 90.00°
With the nearest neighbours (Å) after each atom.
Space group P2_1/m (No. 11)
Asymmetric unit:
Hf 0.0914 0.2500 0.3474 [2 per cell]  3 Si 2.62-2.63, 2 Sn 2.91
Hf 0.3406 0.2500 0.9640 [2 per cell]  1 Si 2.61
Hf 0.3741 0.7500 0.6248 [2 per cell]  2 Si 2.63
Si 0.1472 0.2500 0.6754 [2 per cell]  6 Hf 2.61-2.63
Sn 0.3460 0.7500 0.2417 [2 per cell]  8 Hf 2.91-3.06

calculated volume	231.5	Å³/cell
D(E_F)	7.69	states/eV/cell
E_form (uncorrected)	-0.26	eV/atom
calculated density	9.79	Mg/m³
magnetic moment	0.000	μB per atom
energy above the most stable polymorph in this dataset	0.0	meV per atom
E	-81.16	eV/cell